[1]
## LiHgW3 (PBE)

Data for an optimized crystal structure of LiHgW3.

Its formation enthalpy at 0 K is 1.53 eV per atom. Its energy relative to the lowest polymorph listed for this composition is 0 meV/atom. The energy is -33.432 eV per cell.

The space group is Pm-3m (No. 221) and the conventional cell measures 4.2990, 4.2990 and 4.2990 Å, with angles of 90.00, 90.00 and 90.00 degrees. The asymmetric unit holds Li at (0.0000, 0.0000, 0.0000), Hg at (0.5000, 0.5000, 0.5000) and W at (0.0000, 0.0000, 0.5000).



[2]
## ScNbCl3 (PBE)

Data for an optimized crystal structure of ScNbCl3.

Its energy relative to the lowest polymorph listed for this composition is 144 meV/atom. The uncorrected formation energy comes out at -269 meV per atom. The energy is -23.287 eV per cell.

The space group is Pm-3m (No. 221) and the conventional cell measures 4.9964, 4.9964 and 4.9964 Å, with angles of 90.00, 90.00 and 90.00 degrees. The asymmetric unit holds Sc at (0.0000, 0.0000, 0.0000), Nb at (0.5000, 0.5000, 0.5000) and Cl at (0.0000, 0.5000, 0.5000).



[3]
## NaNi2S3 (PBE)

Data for an optimized crystal structure of NaNi2S3.

Its energy relative to the lowest polymorph listed for this composition is 0 meV/atom. The uncorrected formation energy comes out at -539 meV per atom. The energy is -56.995 eV per cell.

The space group is P-3m1 (No. 164) and the conventional cell measures 6.6825, 6.6825 and 5.8015 Å, with angles of 90.00, 90.00 and 120.00 degrees. The asymmetric unit holds Na at (0.3333, 0.6667, 0.4106), Ni at (0.0000, 0.0000, 0.0000), Ni at (0.0000, 0.5000, 0.0000) and S at (0.1719, 0.3439, 0.8109).



[4]
## CaTaB3 (PBE)

Data for an optimized crystal structure of CaTaB3.

Its formation enthalpy at 0 K is 0.59 eV per atom. Its energy relative to the lowest polymorph listed for this composition is 0 meV/atom. The energy is -30.923 eV per cell.

The space group is Pm-3m (No. 221) and the conventional cell measures 4.3275, 4.3275 and 4.3275 Å, with angles of 90.00, 90.00 and 90.00 degrees. The asymmetric unit holds Ca at (0.0000, 0.0000, 0.0000), Ta at (0.5000, 0.5000, 0.5000) and B at (0.0000, 0.5000, 0.5000).